[1]
AlCr2Au | Alexandria | PBE-GGA | optimized geometry; VASP energy = -6.447 eV per atom; crystal system = orthorhombic; total magnetization = 0.0 μB per cell; energy of formation from the pure elements = 0.12 eV/atom
1.0
2.7144 0.0065 0.0000
-1.0484 2.5038 0.0000
0.0000 0.0000 8.3972
Cr Au Al
2 1 1
direct
0.0000 0.0000 0.0320 Cr
0.5000 0.5000 0.2358 Cr
0.5000 0.5000 0.7514 Au
0.0000 0.0000 0.4808 Al

***

[2]
Al4CrAu | Alexandria | PBE-GGA | optimized geometry; VASP energy = -4.460 eV per atom; crystal system = cubic; total magnetization = 3.1 μB per cell; energy of formation from the pure elements = 0.19 eV/atom
1.0
0.0000 3.6721 3.6721
3.6721 0.0000 3.6721
3.6721 3.6721 0.0000
Al Cr Au
4 1 1
direct
0.8776 0.3741 0.3741 Al
0.3741 0.3741 0.8776 Al
0.3741 0.8776 0.3741 Al
0.3741 0.3741 0.3741 Al
0.0000 0.0000 0.0000 Cr
0.7500 0.7500 0.7500 Au